Entry 1:
{"formula": "PaTlCd2", "functional": "PBE", "state": "relaxed", "sg": "R-3m, No. 166", "cell": [[1.591, 0.919, 12.181], [-1.591, 0.919, 12.181], [0.000, -1.837, 12.181]], "species": ["Pa", "Tl", "Cd", "Cd"], "fractional_positions": [[0.000, 0.000, 0.000], [0.500, 0.500, 0.500], [0.088, 0.088, 0.088], [0.912, 0.912, 0.912]]}

=====

Entry 2:
{"formula": "PaTl2Cd", "functional": "PBE", "state": "relaxed", "sg": "P4/mmm, No. 123", "cell": [[4.763, 0.000, 0.000], [0.000, 4.763, 0.000], [0.000, 0.000, 4.577]], "species": ["Pa", "Tl", "Tl", "Cd"], "fractional_positions": [[0.000, 0.000, 0.000], [0.000, 0.500, 0.500], [0.500, 0.000, 0.500], [0.500, 0.500, 0.000]]}

=====

Entry 3:
{"formula": "PaTlCd2", "functional": "PBE", "state": "relaxed", "sg": "P4/mmm, No. 123", "cell": [[3.130, 0.000, 0.000], [0.000, 3.130, 0.000], [0.000, 0.000, 10.295]], "species": ["Pa", "Tl", "Cd", "Cd"], "fractional_positions": [[0.000, 0.000, 0.000], [0.000, 0.000, 0.500], [0.500, 0.500, 0.242], [0.500, 0.500, 0.758]]}

=====

Entry 4:
{"formula": "PaTl2Cd", "functional": "PBE", "state": "relaxed", "sg": "P4/mmm, No. 123", "cell": [[3.659, 0.000, 0.000], [0.000, 3.659, 0.000], [0.000, 0.000, 7.814]], "species": ["Pa", "Tl", "Tl", "Cd"], "fractional_positions": [[0.000, 0.000, 0.000], [0.500, 0.500, 0.266], [0.500, 0.500, 0.734], [0.000, 0.000, 0.500]]}

=====

Entry 5:
{"formula": "TmPaCd", "functional": "PBE", "state": "relaxed", "sg": "Cmcm, No. 63", "cell": [[1.629, -8.875, 0.000], [1.629, 8.875, 0.000], [0.000, 0.000, 5.265]], "species": ["Tm", "Tm", "Pa", "Pa", "Cd", "Cd"], "fractional_positions": [[0.097, 0.903, 0.750], [0.903, 0.097, 0.250], [0.230, 0.770, 0.250], [0.770, 0.230, 0.750], [0.441, 0.559, 0.750], [0.559, 0.441, 0.250]]}

=====

Entry 6:
{"formula": "Tm2PaCd", "functional": "PBE", "state": "relaxed", "sg": "R-3m, No. 166", "cell": [[1.621, 0.936, 11.757], [-1.621, 0.936, 11.757], [0.000, -1.872, 11.757]], "species": ["Tm", "Tm", "Pa", "Cd"], "fractional_positions": [[0.091, 0.091, 0.091], [0.909, 0.909, 0.909], [0.000, 0.000, 0.000], [0.500, 0.500, 0.500]]}

=====

ΔE to the lowest computed polymorph readings, ordered: 0.1847 0.0000 0.0000 0.1389 0.0000 0.2897 eV/atom
Fermi-level density of states readings, ordered: 4.77 5.60 5.13 6.49 8.80 5.97 states/eV/cell